Record 1
# PBE EuDyInGa, relaxed
# Formation enthalpy at 0 K, eV per formula unit: -1.8
# Electronic total energy, eV per atom: -5.604
data_EuDyInGa
_cell_length_a 7.5177
_cell_length_b 7.5177
_cell_length_c 7.5177
_cell_angle_alpha 90.00
_cell_angle_beta 90.00
_cell_angle_gamma 90.00
_space_group_name_H-M_alt 'F -4 3 m'
_space_group_IT_number 216
_space_group_name_Hall 'F -4 2 3'
loop_
_atom_site_label
_atom_site_type_symbol
_atom_site_fract_x
_atom_site_fract_y
_atom_site_fract_z
Eu1 Eu 0.0000 0.0000 0.0000
Dy1 Dy 0.0000 0.0000 0.5000
In1 In 0.2500 0.2500 0.2500
Ga1 Ga 0.2500 0.2500 0.7500

Record 2
# PBE Mg3GaS4, relaxed
# Energy relative to the elements, uncorrected, eV/atom: -1.092
# Electronic total energy, eV per atom: -4.132
data_Mg3GaS4
_cell_length_a 8.2010
_cell_length_b 7.0958
_cell_length_c 6.4775
_cell_angle_alpha 90.00
_cell_angle_beta 90.00
_cell_angle_gamma 90.00
_space_group_name_H-M_alt 'P m n 21'
_space_group_IT_number 31
loop_
_space_group_symop_operation_xyz
'x,y,z'
'-x+1/2,-y,z+1/2'
'-x,y,z'
'x+1/2,-y,z+1/2'
loop_
_atom_site_label
_atom_site_type_symbol
_atom_site_fract_x
_atom_site_fract_y
_atom_site_fract_z
Mg1 Mg 0.0000 0.1677 0.0000
Mg2 Mg 0.2490 0.6681 0.0018
Ga1 Ga 0.0000 0.8284 0.5088
S1 S 0.0000 0.1709 0.6192
S2 S 0.0000 0.8365 0.1181
S3 S 0.2425 0.3370 0.1205

Record 3
# PBE TbPa2PbO8, relaxed
# Energy relative to the elements, uncorrected, eV/atom: -3.081
# Electronic total energy, eV per atom: -8.664
data_TbPa2PbO8
_cell_length_a 5.4654
_cell_length_b 5.4654
_cell_length_c 10.8675
_cell_angle_alpha 90.00
_cell_angle_beta 90.00
_cell_angle_gamma 90.00
_space_group_name_H-M_alt 'I -4 m 2'
_space_group_IT_number 119
_space_group_name_Hall 'I -4 -2'
loop_
_atom_site_label
_atom_site_type_symbol
_atom_site_fract_x
_atom_site_fract_y
_atom_site_fract_z
Tb1 Tb 0.0000 0.0000 0.0000
Pa1 Pa 0.0000 0.0000 0.5000
Pa2 Pa 0.0000 0.5000 0.7500
Pb1 Pb 0.0000 0.5000 0.2500
O1 O 0.2335 0.2544 0.6230

Record 4
# PBE TmMnRu2C, relaxed
# Formation enthalpy at 0 K, eV per formula unit: -1.1
# Electronic total energy, eV per atom: -8.496
data_TmMnRu2C
_cell_length_a 4.1884
_cell_length_b 4.1884
_cell_length_c 3.9502
_cell_angle_alpha 90.00
_cell_angle_beta 90.00
_cell_angle_gamma 90.00
_space_group_name_H-M_alt 'P 4/m m m'
_space_group_IT_number 123
_space_group_name_Hall '-P 4 2'
loop_
_atom_site_label
_atom_site_type_symbol
_atom_site_fract_x
_atom_site_fract_y
_atom_site_fract_z
Tm1 Tm 0.0000 0.0000 0.0000
Mn1 Mn 0.5000 0.5000 0.0000
Ru1 Ru 0.0000 0.5000 0.5000
C1 C 0.5000 0.5000 0.5000

Record 5
# PBE La3Tl4InSe8, relaxed
# Energy relative to the elements, uncorrected, eV/atom: -1.185
# Electronic total energy, eV per atom: -4.614
data_La3Tl4InSe8
_cell_length_a 8.6935
_cell_length_b 8.6935
_cell_length_c 23.1696
_cell_angle_alpha 90.00
_cell_angle_beta 90.00
_cell_angle_gamma 120.00
_space_group_name_H-M_alt 'R -3 m'
_space_group_IT_number 166
_space_group_name_Hall '-R 3 2"'
loop_
_atom_site_label
_atom_site_type_symbol
_atom_site_fract_x
_atom_site_fract_y
_atom_site_fract_z
La1 La 0.0000 0.5000 0.0000
Tl1 Tl 0.0000 0.0000 0.5000
Tl2 Tl 0.0000 0.5000 0.5000
In1 In 0.0000 0.0000 0.0000
Se1 Se 0.0000 0.0000 0.2623
Se2 Se 0.0142 0.5071 0.7363

Record 6
# PBE Tl2ZnAu, relaxed
# Formation enthalpy at 0 K, eV per formula unit: 0.4
# Distance to the lowest polymorph of the same formula, meV/atom: 119
# Electronic total energy, eV per atom: -2.215
data_Tl2ZnAu
_cell_length_a 6.5307
_cell_length_b 7.2901
_cell_length_c 4.0456
_cell_angle_alpha 90.00
_cell_angle_beta 90.71
_cell_angle_gamma 90.00
_space_group_name_H-M_alt 'C 1 2/m 1'
_space_group_IT_number 12
loop_
_space_group_symop_operation_xyz
'x,y,z'
'-x,-y,-z'
'-x,y,-z'
'x,-y,z'
'x+1/2,y+1/2,z'
'-x+1/2,-y+1/2,-z'
'-x+1/2,y+1/2,-z'
'x+1/2,-y+1/2,z'
loop_
_atom_site_label
_atom_site_type_symbol
_atom_site_fract_x
_atom_site_fract_y
_atom_site_fract_z
Tl1 Tl 0.2500 0.2500 0.0000
Zn1 Zn 0.0000 0.0000 0.5000
Au1 Au 0.0000 0.5000 0.5000

Record 7
# PBE TlSbRu2, relaxed
# Energy relative to the elements, uncorrected, eV/atom: 0.429
# Electronic total energy, eV per atom: -5.831
data_TlSbRu2
_cell_length_a 3.1882
_cell_length_b 5.0518
_cell_length_c 4.5917
_cell_angle_alpha 90.00
_cell_angle_beta 90.00
_cell_angle_gamma 90.00
_space_group_name_H-M_alt 'P m m 2'
_space_group_IT_number 25
loop_
_space_group_symop_operation_xyz
'x,y,z'
'-x,-y,z'
'-x,y,z'
'x,-y,z'
loop_
_atom_site_label
_atom_site_type_symbol
_atom_site_fract_x
_atom_site_fract_y
_atom_site_fract_z
Tl1 Tl 0.0000 0.0000 0.0000
Sb1 Sb 0.5000 0.5000 0.2588
Ru1 Ru 0.0000 0.5000 0.7178
Ru2 Ru 0.5000 0.0000 0.5102

Record 8
# PBE BiPt2Se, relaxed
# Energy relative to the elements, uncorrected, eV/atom: -0.097
# Electronic total energy, eV per atom: -4.959
data_BiPt2Se
_cell_length_a 5.0319
_cell_length_b 5.0319
_cell_length_c 15.1311
_cell_angle_alpha 90.00
_cell_angle_beta 90.00
_cell_angle_gamma 90.00
_space_group_name_H-M_alt 'I -4 2 d'
_space_group_IT_number 122
_space_group_name_Hall 'I -4 2bw'
loop_
_atom_site_label
_atom_site_type_symbol
_atom_site_fract_x
_atom_site_fract_y
_atom_site_fract_z
Bi1 Bi 0.0000 0.0000 0.0000
Pt1 Pt 0.1519 0.2500 0.6250
Se1 Se 0.0000 0.0000 0.5000

Record 9
# PBE La2ThMg6, relaxed
# Formation enthalpy at 0 K, eV per formula unit: -0.6
# Electronic total energy, eV per atom: -3.049
data_La2ThMg6
_cell_length_a 9.2609
_cell_length_b 9.2609
_cell_length_c 3.3528
_cell_angle_alpha 90.00
_cell_angle_beta 90.00
_cell_angle_gamma 120.00
_space_group_name_H-M_alt 'P 6/m m m'
_space_group_IT_number 191
_space_group_name_Hall '-P 6 2'
loop_
_atom_site_label
_atom_site_type_symbol
_atom_site_fract_x
_atom_site_fract_y
_atom_site_fract_z
La1 La 0.3333 0.6667 0.0000
Th1 Th 0.0000 0.0000 0.0000
Mg1 Mg 0.0000 0.3303 0.5000

Record 10
# PBE AcNd5SmTm2, relaxed
# Formation enthalpy at 0 K, eV per formula unit: 0.7
# Electronic total energy, eV per atom: -4.541
data_AcNd5SmTm2
_cell_length_a 5.8411
_cell_length_b 17.6353
_cell_length_c 12.2330
_cell_angle_alpha 90.00
_cell_angle_beta 90.00
_cell_angle_gamma 90.00
_space_group_name_H-M_alt 'C m c 21'
_space_group_IT_number 36
loop_
_space_group_symop_operation_xyz
'x,y,z'
'-x,-y,z+1/2'
'-x,y,z'
'x,-y,z+1/2'
'x+1/2,y+1/2,z'
'-x+1/2,-y+1/2,z+1/2'
'-x+1/2,y+1/2,z'
'x+1/2,-y+1/2,z+1/2'
loop_
_atom_site_label
_atom_site_type_symbol
_atom_site_fract_x
_atom_site_fract_y
_atom_site_fract_z
Ac1 Ac 0.0000 0.1141 0.0000
Nd1 Nd 0.0000 0.0773 0.3433
Nd2 Nd 0.0000 0.0804 0.6652
Nd3 Nd 0.0000 0.2691 0.7966
Nd4 Nd 0.0000 0.2703 0.2046
Nd5 Nd 0.0000 0.4399 0.6480
Sm1 Sm 0.0000 0.2476 0.5001
Tm1 Tm 0.0000 0.3907 0.9997
Tm2 Tm 0.0000 0.4380 0.3542

Record 11
# PBE NaPd4Pt, relaxed
# Formation enthalpy at 0 K, eV per formula unit: 0.1
# Electronic total energy, eV per atom: -4.673
data_NaPd4Pt
_cell_length_a 5.1225
_cell_length_b 6.9540
_cell_length_c 6.9681
_cell_angle_alpha 61.69
_cell_angle_beta 69.75
_cell_angle_gamma 80.32
_space_group_name_H-M_alt 'P -1'
_space_group_IT_number 2
loop_
_space_group_symop_operation_xyz
'x,y,z'
'-x,-y,-z'
loop_
_atom_site_label
_atom_site_type_symbol
_atom_site_fract_x
_atom_site_fract_y
_atom_site_fract_z
Na1 Na 0.2443 0.3464 0.0765
Pd1 Pd 0.0530 0.1218 0.5806
Pd2 Pd 0.1259 0.7864 0.0680
Pd3 Pd 0.3837 0.7780 0.6549
Pd4 Pd 0.4737 0.1175 0.7882
Pt1 Pt 0.2350 0.4981 0.5334

Record 12
# PBE CuNi2Ru2, relaxed
# Formation enthalpy at 0 K, eV per formula unit: 1.9
# Distance to the lowest polymorph of the same formula, meV/atom: 0
# Electronic total energy, eV per atom: -6.452
data_CuNi2Ru2
_cell_length_a 7.0999
_cell_length_b 7.0999
_cell_length_c 2.6190
_cell_angle_alpha 90.00
_cell_angle_beta 90.00
_cell_angle_gamma 90.00
_space_group_name_H-M_alt 'P 4/m b m'
_space_group_IT_number 127
_space_group_name_Hall '-P 4 2ab'
loop_
_atom_site_label
_atom_site_type_symbol
_atom_site_fract_x
_atom_site_fract_y
_atom_site_fract_z
Cu1 Cu 0.0000 0.0000 0.0000
Ni1 Ni 0.1197 0.3803 0.0000
Ru1 Ru 0.1765 0.6765 0.5000